No. 1
Compound: CoSb2Ir
Source: the Alexandria database
Functional: PBE
Structure: relaxed

Cell lengths 3.9833, 3.9833, 5.3709 Å; angles 90.00, 90.00, 120.00 degrees
With the nearest neighbours (Å) after each atom.
Atoms (fractional coordinates):
1 Co 0.0000 0.0000 0.0000  6 Sb 2.62, 2 Ir 2.69
2 Sb 0.3333 0.6667 0.2354  3 Co 2.62, 3 Ir 2.70
3 Sb 0.6667 0.3333 0.7646  3 Co 2.62, 3 Ir 2.70
4 Ir 0.0000 0.0000 0.5000  2 Co 2.69, 6 Sb 2.70

Summary:
Formation energy without anion corrections = -194 meV/atom
Space-group type = No. 164
Electronic total energy = -6.25 eV per atom

***

No. 2
Compound: Co2SbIr
Source: the Alexandria database
Functional: PBE
Structure: relaxed

Cell lengths 7.4605, 7.4605, 7.4605 Å; angles 142.62, 142.62, 53.90 degrees
With the nearest neighbours (Å) after each atom.
Atoms (fractional coordinates):
1 Co 0.0794 0.6250 0.9544  2 Ir 2.27, 2 Sb 2.49
2 Co 0.3750 0.3294 0.4544  2 Ir 2.27, 2 Sb 2.49
3 Co 0.6706 0.1250 0.0456  2 Ir 2.27, 2 Sb 2.49
4 Co 0.8750 0.9206 0.5456  2 Ir 2.27, 2 Sb 2.49
5 Sb 0.2500 0.7500 0.5000  4 Co 2.49
6 Sb 0.5000 0.5000 0.0000  4 Co 2.49
7 Ir 0.0000 0.0000 0.0000  4 Co 2.27
8 Ir 0.7500 0.2500 0.5000  4 Co 2.27

Summary:
Formation energy without anion corrections = 719 meV/atom
Space-group type = No. 122
Electronic total energy = -6.08 eV per atom

***

No. 3
Compound: CoSb2Ir
Source: the Alexandria database
Functional: PBE
Structure: relaxed

Cell lengths 4.3194, 4.3194, 5.7466 Å; angles 102.57, 102.57, 43.87 degrees
With the nearest neighbours (Å) after each atom.
Atoms (fractional coordinates):
1 Co 0.0000 0.0000 0.0000  6 Sb 2.67-2.71
2 Sb 0.2538 0.2538 0.7601  3 Co 2.67-2.71, 3 Ir 2.74-2.75
3 Sb 0.7462 0.7462 0.2399  3 Co 2.67-2.71, 3 Ir 2.74-2.75
4 Ir 0.5000 0.5000 0.5000  6 Sb 2.74-2.75

Summary:
Formation energy without anion corrections = 211 meV/atom
Space-group type = No. 12
Electronic total energy = -5.84 eV per atom

***

No. 4
Compound: CoSb2Ir
Source: the Alexandria database
Functional: PBE
Structure: relaxed

Cell lengths 4.5234, 4.5234, 3.4811 Å; angles 90.11, 90.11, 90.36 degrees
With the nearest neighbours (Å) after each atom.
Atoms (fractional coordinates):
1 Co 0.0000 0.0000 0.0000  8 Sb 2.85-2.86, 2 Ir 3.19
2 Sb 0.0000 0.5000 0.5000  4 Co 2.85-2.86, 4 Ir 2.85-2.86, 2 Sb 3.19
3 Sb 0.5000 0.0000 0.5000  4 Co 2.85-2.86, 4 Ir 2.85-2.86, 2 Sb 3.19
4 Ir 0.5000 0.5000 0.0000  8 Sb 2.85-2.86, 2 Co 3.19

Summary:
Formation energy without anion corrections = 291 meV/atom
Space-group type = No. 12
Electronic total energy = -5.76 eV per atom

***

No. 5
Compound: CoSbIr2
Source: the Alexandria database
Functional: PBE
Structure: relaxed

Cell lengths 2.8590, 2.8590, 9.1723 Å; angles 90.00, 90.00, 119.25 degrees
With the nearest neighbours (Å) after each atom.
Atoms (fractional coordinates):
1 Co 0.0000 0.0000 0.0000  4 Ir 2.52
2 Sb 0.0000 0.0000 0.5000  6 Sb 2.86-2.89, 4 Ir 2.91
3 Ir 0.5000 0.5000 0.2244  2 Co 2.52
4 Ir 0.5000 0.5000 0.7756  2 Co 2.52

Summary:
Formation energy without anion corrections = 590 meV/atom
Space-group type = No. 65
Electronic total energy = -6.65 eV per atom

***

No. 6
Compound: CoSbIr2
Source: the Alexandria database
Functional: PBE
Structure: relaxed

Cell lengths 5.3019, 5.3019, 5.3019 Å; angles 147.48, 129.57, 61.30 degrees
With the nearest neighbours (Å) after each atom.
Atoms (fractional coordinates):
1 Co 0.0000 0.0000 0.0000  2 Sb 2.54, 6 Ir 2.68-2.72
2 Sb 0.7738 0.2738 0.5000  2 Co 2.54, 6 Ir 2.68-2.72
3 Ir 0.2451 0.7451 0.5000  2 Co 2.68, 4 Sb 2.72, 6 Ir 2.97-3.00
4 Ir 0.5294 0.5294 0.0000  2 Sb 2.68, 4 Co 2.72, 6 Ir 2.97-3.00

Summary:
Formation energy without anion corrections = 351 meV/atom
Space-group type = No. 44
Electronic total energy = -6.89 eV per atom

***

No. 7
Compound: Co2SbIr
Source: the Alexandria database
Functional: PBE
Structure: relaxed

Cell lengths 8.2387, 8.2387, 8.2387 Å; angles 20.38, 20.38, 20.38 degrees
With the nearest neighbours (Å) after each atom.
Atoms (fractional coordinates):
1 Co 0.2492 0.2492 0.2492  3 Ir 2.61, 3 Sb 2.64, 6 Co 2.92
2 Co 0.7508 0.7508 0.7508  3 Ir 2.61, 3 Sb 2.64, 6 Co 2.92
3 Sb 0.0000 0.0000 0.0000  6 Co 2.64, 6 Sb 2.92
4 Ir 0.5000 0.5000 0.5000  6 Co 2.61, 6 Ir 2.92

Summary:
Formation energy without anion corrections = 428 meV/atom
Space-group type = No. 166
Electronic total energy = -6.37 eV per atom

***

No. 8
Compound: CoSb2Ir
Source: the Alexandria database
Functional: PBE
Structure: relaxed

Cell lengths 9.9877, 9.9877, 9.9877 Å; angles 18.20, 18.20, 18.20 degrees
With the nearest neighbours (Å) after each atom.
Atoms (fractional coordinates):
1 Co 0.0000 0.0000 0.0000  3 Sb 2.57, 3 Ir 2.67
2 Sb 0.2720 0.2720 0.2720  3 Co 2.57
3 Sb 0.4669 0.4669 0.4669  3 Ir 2.70
4 Ir 0.7328 0.7328 0.7328  3 Co 2.67, 3 Sb 2.70

Summary:
Formation energy without anion corrections = 337 meV/atom
Space-group type = No. 160
Electronic total energy = -5.72 eV per atom

***

No. 9
Compound: CoSbIr
Source: the Alexandria database
Functional: PBE
Structure: relaxed

Cell lengths 4.7162, 4.7162, 4.7162 Å; angles 142.35, 131.73, 62.78 degrees
With the nearest neighbours (Å) after each atom.
Atoms (fractional coordinates):
1 Co 0.0000 0.0000 0.0000  5 Sb 2.61-2.84, 5 Ir 2.75-2.78
2 Sb 0.3241 0.3241 0.0000  5 Co 2.61-2.84, 5 Ir 2.66-2.81
3 Ir 0.6548 0.6548 0.0000  5 Sb 2.66-2.81, 5 Co 2.75-2.78

Summary:
Formation energy without anion corrections = 237 meV/atom
Space-group type = No. 44
Electronic total energy = -6.46 eV per atom

***

No. 10
Compound: CoSbIr2
Source: the Alexandria database
Functional: PBE
Structure: relaxed

Cell lengths 8.5050, 8.5050, 8.5050 Å; angles 20.09, 20.09, 20.09 degrees
With the nearest neighbours (Å) after each atom.
Atoms (fractional coordinates):
1 Co 0.0000 0.0000 0.0000  6 Ir 2.61
2 Sb 0.5000 0.5000 0.5000  6 Ir 2.78, 6 Sb 2.97
3 Ir 0.2545 0.2545 0.2545  3 Co 2.61, 3 Sb 2.78
4 Ir 0.7455 0.7455 0.7455  3 Co 2.61, 3 Sb 2.78

Summary:
Formation energy without anion corrections = 411 meV/atom
Space-group type = No. 166
Electronic total energy = -6.83 eV per atom

***

No. 11
Compound: CoSb2Ir
Source: the Alexandria database
Functional: PBE
Structure: relaxed

Cell lengths 3.1839, 3.1839, 7.8422 Å; angles 90.00, 90.00, 90.00 degrees
With the nearest neighbours (Å) after each atom.
Atoms (fractional coordinates):
1 Co 0.0000 0.0000 0.0000  4 Sb 2.63, 4 Ir 2.77
2 Sb 0.0000 0.0000 0.4028  4 Ir 2.73
3 Sb 0.5000 0.5000 0.8258  4 Co 2.63
4 Ir 0.5000 0.5000 0.2049  5 Sb 2.73-2.97, 4 Co 2.77

Summary:
Formation energy without anion corrections = 123 meV/atom
Space-group type = No. 99
Electronic total energy = -5.93 eV per atom

***

No. 12
Compound: CoSbIr2
Source: the Alexandria database
Functional: PBE
Structure: relaxed

Cell lengths 2.9481, 3.6460, 5.7218 Å; angles 90.00, 90.00, 90.00 degrees
With the nearest neighbours (Å) after each atom.
Atoms (fractional coordinates):
1 Co 0.0000 0.0000 0.0000  8 Ir 2.69, 2 Sb 2.86, 2 Co 2.95
2 Sb 0.0000 0.0000 0.5000  8 Ir 2.81, 2 Co 2.86, 2 Sb 2.95
3 Ir 0.5000 0.5000 0.2308  3 Ir 2.64-2.95, 4 Co 2.69, 4 Sb 2.81
4 Ir 0.5000 0.5000 0.7692  3 Ir 2.64-2.95, 4 Co 2.69, 4 Sb 2.81

Summary:
Formation energy without anion corrections = 217 meV/atom
Space-group type = No. 47
Electronic total energy = -7.02 eV per atom

***

- Number 12 is which compound?
  CoSbIr2

***

- Which of these has the lowest electronic total energy?
  number 12